A geometry-optimized W2AuCl structure. Source: the Alexandria database, functional GGA-PBEsol.

Structure (CIF):
```
data_W2AuCl
_chemical_formula_sum 'W2 Au1 Cl1'
_symmetry_space_group_name_H-M 'P 4 m m'
_symmetry_Int_Tables_number 99
_symmetry_space_group_name_Hall 'P 4 -2'
_cell_length_a 2.846
_cell_length_b 2.846
_cell_length_c 8.832
_cell_angle_alpha 90.00
_cell_angle_beta 90.00
_cell_angle_gamma 90.00
loop_
_atom_site_label
_atom_site_type_symbol
_atom_site_fract_x
_atom_site_fract_y
_atom_site_fract_z
W1 W 0.000 0.000 0.000
W2 W 0.500 0.500 0.219
Au1 Au 0.000 0.000 0.442
Cl1 Cl 0.500 0.500 0.815
```

Computed properties:
energy relative to the lowest polymorph listed for this composition: 80.9 meV/atom
raw total energy: -8.02 eV per atom
formation energy without anion corrections: 0.367 eV/atom